! CaPb2WO6, relaxed, DFT PBE with a Hubbard U; values from VASP
! - V (Å³ per cell) = 294.2
! - SG = P2_1/c (14)
! - final energy (eV per atom) = -6.583
! - DOS(E_F) (states/eV/cell) = 0.0
&SYSTEM
  ibrav = 0, nat = 20, ntyp = 4
/
ATOMIC_SPECIES
Ca 40.08 Ca.upf
Pb 207.20 Pb.upf
W 183.84 W.upf
O 16.00 O.upf
CELL_PARAMETERS angstrom
-4.475 -3.215 2.022
3.804 -3.198 3.335
-1.037 5.376 6.338
ATOMIC_POSITIONS crystal
Ca 0.500 0.000 0.000
Ca 0.000 0.500 0.500
Pb 0.006 0.965 0.251
Pb 0.506 0.535 0.751
Pb 0.994 0.035 0.749
Pb 0.494 0.465 0.249
W 0.500 0.000 0.500
W 0.000 0.500 0.000
O 0.271 0.684 0.040
O 0.771 0.816 0.540
O 0.729 0.316 0.960
O 0.229 0.184 0.460
O 0.321 0.730 0.454
O 0.821 0.770 0.954
O 0.679 0.270 0.546
O 0.179 0.230 0.046
O 0.914 0.526 0.227
O 0.414 0.974 0.727
O 0.086 0.474 0.773
O 0.586 0.026 0.273